# 1
{"formula": "Zn2PbAu", "functional": "meta-GGA SCAN", "state": "single point on PBEsol structure", "lattice": [[4.1996, -1.7913, 0.0000], [4.1996, 1.7913, 0.0000], [-1.3752, 0.0000, 5.2442]], "species": ["Zn", "Zn", "Pb", "Au"], "fractional_positions": [[0.2318, 0.2318, 0.1733], [0.7682, 0.7682, 0.8267], [0.0000, 0.0000, 0.5000], [0.5000, 0.5000, 0.0000]], "final_energy_ev_per_cell": -172.05, "m_tot_mub_per_cell": 0.000}

***

# 2
{"formula": "ZnPb2Au", "functional": "meta-GGA SCAN", "state": "single point on PBEsol structure", "lattice": [[3.3680, 0.0000, 0.0000], [0.0000, 3.3680, 0.0000], [0.0000, 0.0000, 7.9872]], "species": ["Zn", "Pb", "Pb", "Au"], "fractional_positions": [[0.0000, 0.0000, 0.0000], [0.0000, 0.0000, 0.3983], [0.5000, 0.5000, 0.7464], [0.5000, 0.5000, 0.1451]], "final_energy_ev_per_cell": -234.39, "m_tot_mub_per_cell": 0.000}

***

# 3
{"formula": "ZnPb2Au", "functional": "meta-GGA SCAN", "state": "single point on PBEsol structure", "lattice": [[4.1152, 0.0000, 0.0000], [0.0000, 4.1977, 0.0000], [-2.0139, 0.0000, 5.3015]], "species": ["Zn", "Pb", "Pb", "Au"], "fractional_positions": [[0.0000, 0.0000, 0.0000], [0.4250, 0.5000, 0.8541], [0.7236, 0.0000, 0.4539], [0.1417, 0.5000, 0.2938]], "final_energy_ev_per_cell": -234.35, "m_tot_mub_per_cell": 0.000}

***

# 4
{"formula": "ZnPbAu2", "functional": "meta-GGA SCAN", "state": "single point on PBEsol structure", "lattice": [[2.1496, 1.2411, 5.0941], [-2.1496, 1.2411, 5.0941], [0.0000, -2.4822, 5.0941]], "species": ["Zn", "Pb", "Au", "Au"], "fractional_positions": [[0.0000, 0.0000, 0.0000], [0.5000, 0.5000, 0.5000], [0.2790, 0.2790, 0.2790], [0.7210, 0.7210, 0.7210]], "e_above_lowest_polymorph_mev_per_atom": 0, "m_tot_mub_per_cell": 0.000}

***

# 5
{"formula": "ZnPbAu2", "functional": "meta-GGA SCAN", "state": "single point on PBEsol structure", "lattice": [[3.2228, 0.0000, 0.0000], [0.0000, 3.2228, 0.0000], [0.0000, 0.0000, 7.3904]], "species": ["Zn", "Pb", "Au", "Au"], "fractional_positions": [[0.0000, 0.0000, 0.0000], [0.0000, 0.0000, 0.5000], [0.5000, 0.5000, 0.1974], [0.5000, 0.5000, 0.8026]], "e_above_lowest_polymorph_mev_per_atom": 31, "m_tot_mub_per_cell": 0.000}

***

# 6
{"formula": "Zn2PbAu", "functional": "meta-GGA SCAN", "state": "single point on PBEsol structure", "lattice": [[1.6299, 0.9410, 8.4343], [-1.6299, 0.9410, 8.4343], [0.0000, -1.8820, 8.4343]], "species": ["Zn", "Zn", "Pb", "Au"], "fractional_positions": [[0.0000, 0.0000, 0.0000], [0.2627, 0.2627, 0.2627], [0.4991, 0.4991, 0.4991], [0.7385, 0.7385, 0.7385]], "final_energy_ev_per_cell": -171.55, "m_tot_mub_per_cell": 0.000}

***

# 7
{"formula": "Zr2PbAu", "functional": "meta-GGA SCAN", "state": "single point on PBEsol structure", "lattice": [[3.1886, 0.0000, 0.0000], [0.0000, 4.1624, 0.0000], [0.0000, 0.0000, 6.2332]], "species": ["Zr", "Zr", "Pb", "Au"], "fractional_positions": [[0.0000, 0.0000, 0.2352], [0.0000, 0.0000, 0.7648], [0.5000, 0.5000, 0.5000], [0.5000, 0.5000, 0.0000]], "final_energy_ev_per_cell": -208.32, "m_tot_mub_per_cell": 0.000}

***

# 8
{"formula": "Zr2PbAu", "functional": "meta-GGA SCAN", "state": "single point on PBEsol structure", "lattice": [[0.0000, 3.5023, 3.5023], [3.5023, 0.0000, 3.5023], [3.5023, 3.5023, 0.0000]], "species": ["Zr", "Zr", "Pb", "Au"], "fractional_positions": [[0.0000, 0.0000, 0.0000], [0.2500, 0.2500, 0.2500], [0.5000, 0.5000, 0.5000], [0.7500, 0.7500, 0.7500]], "final_energy_ev_per_cell": -206.02, "m_tot_mub_per_cell": 3.066}

***

# 9
{"formula": "Zr2PbAu", "functional": "meta-GGA SCAN", "state": "single point on PBEsol structure", "lattice": [[5.0719, -1.6145, 0.0000], [5.0719, 1.6145, 0.0000], [-1.3632, 0.0000, 5.2029]], "species": ["Zr", "Zr", "Pb", "Au"], "fractional_positions": [[0.2438, 0.2438, 0.2351], [0.7562, 0.7562, 0.7649], [0.0000, 0.0000, 0.5000], [0.5000, 0.5000, 0.0000]], "final_energy_ev_per_cell": -207.53, "m_tot_mub_per_cell": 0.000}

***

# 10
{"formula": "Zr2PbAu", "functional": "meta-GGA SCAN", "state": "single point on PBEsol structure", "lattice": [[3.0854, -4.2047, 0.0000], [3.0854, 4.2047, 0.0000], [0.0000, 0.0000, 3.1749]], "species": ["Zr", "Zr", "Pb", "Au"], "fractional_positions": [[0.0000, 0.5000, 0.0000], [0.5000, 0.0000, 0.0000], [0.0000, 0.0000, 0.5000], [0.5000, 0.5000, 0.5000]], "final_energy_ev_per_cell": -208.31, "m_tot_mub_per_cell": 0.000}

***

# 11
{"formula": "Zr2PbAu", "functional": "meta-GGA SCAN", "state": "single point on PBEsol structure", "lattice": [[3.7338, 0.0000, 0.0000], [0.0000, 3.7479, 0.0000], [0.0000, 0.0000, 6.1425]], "species": ["Zr", "Zr", "Pb", "Au"], "fractional_positions": [[0.0000, 0.0000, 0.0000], [0.5000, 0.5000, 0.2723], [0.5000, 0.5000, 0.7608], [0.0000, 0.0000, 0.4837]], "final_energy_ev_per_cell": -207.87, "m_tot_mub_per_cell": 0.000}

***

# 12
{"formula": "Zr2PbAu", "functional": "meta-GGA SCAN", "state": "single point on PBEsol structure", "lattice": [[4.3984, 0.0000, 0.0000], [0.0000, 4.3984, 0.0000], [0.0000, 0.0000, 4.2580]], "species": ["Zr", "Zr", "Pb", "Au"], "fractional_positions": [[0.0000, 0.5000, 0.0000], [0.5000, 0.0000, 0.0000], [0.0000, 0.0000, 0.5000], [0.5000, 0.5000, 0.5000]], "final_energy_ev_per_cell": -208.37, "m_tot_mub_per_cell": 0.000}

***

# 13
{"formula": "Zr2PbAu", "functional": "meta-GGA SCAN", "state": "single point on PBEsol structure", "lattice": [[-2.0819, 2.0819, 4.8163], [2.0819, -2.0819, 4.8163], [2.0819, 2.0819, -4.8163]], "species": ["Zr", "Zr", "Pb", "Au"], "fractional_positions": [[0.0000, 0.0000, 0.0000], [0.7500, 0.2500, 0.5000], [0.2500, 0.7500, 0.5000], [0.5000, 0.5000, 0.0000]], "final_energy_ev_per_cell": -208.11, "m_tot_mub_per_cell": 0.008}

***

# 14
{"formula": "PdAu3", "functional": "meta-GGA SCAN", "state": "single point on PBEsol structure", "lattice": [[5.6536, 0.0000, 0.0000], [-2.8268, 4.8962, 0.0000], [0.0000, 0.0000, 4.7038]], "species": ["Pd", "Pd", "Au", "Au", "Au", "Au", "Au", "Au"], "fractional_positions": [[0.3333, 0.6667, 0.2500], [0.6667, 0.3333, 0.7500], [0.1678, 0.3357, 0.7500], [0.1678, 0.8322, 0.7500], [0.3357, 0.1678, 0.2500], [0.6643, 0.8322, 0.7500], [0.8322, 0.1678, 0.2500], [0.8322, 0.6643, 0.2500]], "final_energy_ev_per_cell": -481.10, "m_tot_mub_per_cell": 0.000}

***

# 15
{"formula": "PdAu3", "functional": "meta-GGA SCAN", "state": "single point on PBEsol structure", "lattice": [[4.0202, 0.0000, 0.0000], [0.0000, 4.0202, 0.0000], [0.0000, 0.0000, 4.0202]], "species": ["Pd", "Au", "Au", "Au"], "fractional_positions": [[0.0000, 0.0000, 0.0000], [0.0000, 0.5000, 0.5000], [0.5000, 0.0000, 0.5000], [0.5000, 0.5000, 0.0000]], "final_energy_ev_per_cell": -240.60, "m_tot_mub_per_cell": 0.000}

***

# 16
{"formula": "PdAu3", "functional": "meta-GGA SCAN", "state": "single point on PBEsol structure", "lattice": [[-2.0307, 2.0307, 3.9356], [2.0307, -2.0307, 3.9356], [2.0307, 2.0307, -3.9356]], "species": ["Pd", "Au", "Au", "Au"], "fractional_positions": [[0.0000, 0.0000, 0.0000], [0.2500, 0.7500, 0.5000], [0.5000, 0.5000, 0.0000], [0.7500, 0.2500, 0.5000]], "final_energy_ev_per_cell": -240.62, "m_tot_mub_per_cell": 0.000}

***

# 17
{"formula": "Pm2PdAu", "functional": "meta-GGA SCAN", "state": "single point on PBEsol structure", "lattice": [[0.0000, 3.5800, 3.5800], [3.5800, 0.0000, 3.5800], [3.5800, 3.5800, 0.0000]], "species": ["Pm", "Pm", "Pd", "Au"], "fractional_positions": [[0.2500, 0.2500, 0.2500], [0.7500, 0.7500, 0.7500], [0.0000, 0.0000, 0.0000], [0.5000, 0.5000, 0.5000]], "final_energy_ev_per_cell": -193.62, "m_tot_mub_per_cell": 0.001}

***

# 18
{"formula": "PdPtAu2", "functional": "meta-GGA SCAN", "state": "single point on PBEsol structure", "lattice": [[0.0000, 3.1642, 3.1642], [3.1642, 0.0000, 3.1642], [3.1642, 3.1642, 0.0000]], "species": ["Pd", "Pt", "Au", "Au"], "fractional_positions": [[0.0000, 0.0000, 0.0000], [0.5000, 0.5000, 0.5000], [0.2500, 0.2500, 0.2500], [0.7500, 0.7500, 0.7500]], "final_energy_ev_per_cell": -241.19, "m_tot_mub_per_cell": 0.000}

***

# 19
{"formula": "PdPtAu", "functional": "meta-GGA SCAN", "state": "single point on PBEsol structure", "lattice": [[2.7797, 0.0000, 0.0000], [-1.3898, 2.4073, 0.0000], [0.0000, 0.0000, 6.9006]], "species": ["Pd", "Pt", "Au"], "fractional_positions": [[0.0000, 0.0000, 0.0000], [0.3333, 0.6667, 0.6756], [0.6667, 0.3333, 0.3332]], "final_energy_ev_per_cell": -172.12, "m_tot_mub_per_cell": 0.291}

***

# 20
{"formula": "Pd2AuS", "functional": "meta-GGA SCAN", "state": "single point on PBEsol structure", "lattice": [[0.0000, 3.1210, 3.1210], [3.1210, 0.0000, 3.1210], [3.1210, 3.1210, 0.0000]], "species": ["Pd", "Pd", "Au", "S"], "fractional_positions": [[0.2500, 0.2500, 0.2500], [0.7500, 0.7500, 0.7500], [0.0000, 0.0000, 0.0000], [0.5000, 0.5000, 0.5000]], "e_form_raw_mev_per_atom": 158, "m_tot_mub_per_cell": 0.000}